Entry 1:
Computed, not measured: Pm6S8I after structural relaxation at the PBE-GGA level of DFT.

Values from the calculation:
The value obtained for the uncorrected formation energy is -1.88 eV/atom.

Cell and atoms, written as extended XYZ:
```
15
Lattice="7.970 0.000 0.000 3.985 6.903 0.000 3.985 2.301 7.198" Properties=species:S:1:pos:R:3 pbc="T T T"
Pm 6.879 2.333 5.340
Pm 9.389 2.522 1.857
Pm 5.460 4.413 1.857
Pm 10.481 4.791 5.340
Pm 6.552 6.681 5.340
Pm 9.062 6.870 1.857
S 6.748 2.126 2.528
S 9.503 2.305 4.670
S 5.215 4.423 4.670
S 11.956 6.903 7.175
S 3.985 2.301 0.023
S 10.726 4.781 2.528
S 6.438 6.899 2.528
S 9.193 7.078 4.670
I 0.000 0.000 0.000
```

Entry 2:
Computed, not measured: PmS6I2 after structural relaxation at the PBE-GGA level of DFT.

Values from the calculation:
The value obtained for the uncorrected formation energy is -0.41 eV/atom.

Cell and atoms, written as extended XYZ:
```
9
Lattice="-1.757 0.074 4.169 -6.922 -5.135 -3.357 7.157 -4.301 2.539" Properties=species:S:1:pos:R:3 pbc="T T T"
Pm 0.000 0.000 0.000
S -3.242 -3.906 2.759
S 1.719 -5.456 0.592
S -1.353 -6.533 3.060
S -0.011 -3.496 4.134
S -1.512 -5.866 -0.783
S -0.171 -2.829 0.291
I -5.820 -5.018 -0.410
I 4.297 -4.344 3.762
```

Entry 3:
Computed, not measured: Pm8Si3SI3 after structural relaxation at the PBE-GGA level of DFT.

Values from the calculation:
The value obtained for the uncorrected formation energy is -0.97 eV/atom.

Cell and atoms, written as extended XYZ:
```
15
Lattice="-1.646 8.069 1.998 -2.243 -6.220 5.303 8.681 1.969 -0.801" Properties=species:S:1:pos:R:3 pbc="T T T"
Pm 0.967 -0.575 3.119
Pm 3.826 4.392 3.382
Pm 0.135 3.462 4.098
Pm 4.658 0.355 2.402
Pm 1.248 6.552 1.461
Pm 3.545 -2.735 5.039
Pm 2.066 2.545 0.469
Pm 2.727 1.272 6.032
Si 3.518 5.019 0.599
Si 2.397 1.908 3.250
Si 3.219 -2.126 2.251
S 4.341 0.984 -0.400
I 0.000 0.000 0.000
I -1.121 -3.110 2.652
I -1.944 0.924 3.651
```

Entry 4:
Computed, not measured: Pm4SiSI2 after structural relaxation at the PBE-GGA level of DFT.

Values from the calculation:
The value obtained for the uncorrected formation energy is -1.23 eV/atom.

Cell and atoms, written as extended XYZ:
```
8
Lattice="4.248 0.000 0.000 0.000 7.240 0.099 0.000 -2.579 7.603" Properties=species:S:1:pos:R:3 pbc="T T T"
Pm 2.124 1.140 1.442
Pm 2.124 3.521 6.260
Pm 0.000 -0.170 6.177
Pm 0.000 4.831 1.525
Si 2.124 3.620 0.049
S 0.000 0.000 0.000
I 2.124 -1.289 3.802
I 0.000 2.331 3.851
```

Entry 5:
Computed, not measured: Pm6Si2SI3 after structural relaxation at the PBE-GGA level of DFT.

Values from the calculation:
The value obtained for the uncorrected formation energy is -1.15 eV/atom.

Cell and atoms, written as extended XYZ:
```
12
Lattice="-0.277 5.202 -5.167 -5.692 -4.530 0.953 -1.045 4.660 6.485" Properties=species:S:1:pos:R:3 pbc="T T T"
Pm -4.545 5.902 0.982
Pm -4.572 1.385 -1.843
Pm -2.469 -0.571 1.289
Pm -6.343 2.671 3.015
Pm -2.442 3.947 4.114
Pm -0.671 2.661 -0.744
Si -3.886 -1.283 -1.088
Si -2.083 1.955 -3.125
S 0.000 0.000 0.000
I -5.301 -0.558 3.163
I -1.713 5.890 -0.892
I -3.507 2.666 1.136
```

Entry 6:
Computed, not measured: Pm8SiS3I4 after structural relaxation at the PBE-GGA level of DFT.

Values from the calculation:
The value obtained for the uncorrected formation energy is -1.35 eV/atom.

Cell and atoms, written as extended XYZ:
```
16
Lattice="8.337 0.000 0.000 0.000 9.000 0.470 -4.169 -4.170 5.896" Properties=species:S:1:pos:R:3 pbc="T T T"
Pm -2.042 2.207 5.956
Pm 0.000 4.251 3.066
Pm 0.000 0.588 3.364
Pm 2.042 2.207 5.956
Pm 2.126 2.623 0.410
Pm 4.169 4.242 3.002
Pm 4.169 0.580 3.300
Pm 6.211 2.623 0.410
Si 0.000 4.500 0.235
S 4.169 4.500 0.235
S 2.084 2.415 3.183
S -2.084 2.415 3.183
I 4.169 0.000 0.000
I 2.084 -2.085 2.948
I 0.000 0.000 0.000
I -2.084 -2.085 2.948
```

Entry 7:
Computed, not measured: Pm8Si3SI4 after structural relaxation at the PBE-GGA level of DFT.

Values from the calculation:
The value obtained for the uncorrected formation energy is -1.10 eV/atom.

Cell and atoms, written as extended XYZ:
```
16
Lattice="-3.396 -2.000 -7.536 7.527 -4.632 -2.162 -4.043 -2.109 7.180" Properties=species:S:1:pos:R:3 pbc="T T T"
Pm 0.536 -5.693 3.678
Pm 2.563 -4.640 0.076
Pm -0.789 -3.070 1.170
Pm -1.169 -6.698 -0.106
Pm 1.256 -2.043 -2.413
Pm 0.876 -5.671 -3.689
Pm -2.475 -4.101 -2.595
Pm -0.449 -3.047 -6.197
Si 2.065 -3.316 -4.849
Si 0.044 -4.370 -1.259
Si 1.742 -3.370 2.509
S 3.763 -2.316 -1.081
I -1.698 -1.000 -3.768
I -3.720 -2.054 -0.178
I 0.000 0.000 0.000
I -2.022 -1.055 3.590
```

Entry 8:
Computed, not measured: Pm3Sb2I2 after structural relaxation at the PBE-GGA level of DFT.

Values from the calculation:
The value obtained for the uncorrected formation energy is -1.15 eV/atom.

Cell and atoms, written as extended XYZ:
```
7
Lattice="4.437 -0.004 0.001 -2.211 7.379 -0.105 -0.004 -1.218 7.804" Properties=species:S:1:pos:R:3 pbc="T T T"
Pm 0.000 0.000 0.000
Pm 2.223 3.436 1.679
Pm 0.000 2.720 6.021
Sb 2.217 0.704 6.728
Sb 0.006 5.453 0.972
I 2.222 4.775 4.744
I 0.001 1.381 2.956
```

Entry 9:
Computed, not measured: Pm2SbI after structural relaxation at the PBE-GGA level of DFT.

Values from the calculation:
The value obtained for the uncorrected formation energy is -0.92 eV/atom.

Cell and atoms, written as extended XYZ:
```
4
Lattice="-3.537 0.715 -1.454 -0.215 -3.667 -1.281 -3.246 -2.192 6.818" Properties=species:S:1:pos:R:3 pbc="T T T"
I -3.499 -2.572 2.041
Sb -1.876 -1.476 -1.368
Pm -2.514 -1.698 5.281
Pm -0.732 -0.494 1.537
```

Entry 10:
Computed, not measured: Pm4Sb3I after structural relaxation at the PBE-GGA level of DFT.

Values from the calculation:
The value obtained for the uncorrected formation energy is -1.13 eV/atom.

Cell and atoms, written as extended XYZ:
```
8
Lattice="-2.975 2.781 4.864 -2.056 -5.664 1.981 7.752 0.792 0.152" Properties=species:S:1:pos:R:3 pbc="T T T"
I 0.000 0.000 0.000
Sb -2.515 -1.442 3.422
Sb 1.131 1.065 4.219
Sb 1.591 -3.157 2.778
Pm 3.750 0.740 6.007
Pm 4.209 -3.483 4.565
Pm 2.734 -0.339 1.866
Pm -0.012 -1.753 5.131
```

Entry 11:
Computed, not measured: Pm2SbI2 after structural relaxation at the PBE-GGA level of DFT.

Values from the calculation:
The value obtained for the uncorrected formation energy is -1.33 eV/atom.

Cell and atoms, written as extended XYZ:
```
5
Lattice="4.443 0.000 0.000 2.222 3.848 0.000 2.222 1.283 11.443" Properties=species:S:1:pos:R:3 pbc="T T T"
Pm 4.443 2.565 1.745
Pm 4.443 2.565 9.698
Sb 0.000 0.000 0.000
I 2.222 1.283 3.733
I 6.665 3.848 7.709
```

Entry 12:
Computed, not measured: Pm2SbI after structural relaxation at the PBE-GGA level of DFT.

Values from the calculation:
The value obtained for the uncorrected formation energy is -0.75 eV/atom.

Cell and atoms, written as extended XYZ:
```
4
Lattice="-2.800 -4.753 0.165 2.126 2.342 -4.529 5.354 -3.119 0.894" Properties=species:S:1:pos:R:3 pbc="T T T"
Pm -0.252 -2.654 -2.063
Pm 3.952 -2.017 -3.076
Sb 2.396 -4.256 -1.591
I 1.292 -0.430 -3.537
```

Entry 13:
Computed, not measured: Pm3SbI2 after structural relaxation at the PBE-GGA level of DFT.

Values from the calculation:
The value obtained for the uncorrected formation energy is -0.90 eV/atom.

Cell and atoms, written as extended XYZ:
```
6
Lattice="-3.774 -1.466 1.633 3.117 -4.142 3.484 0.769 7.660 2.820" Properties=species:S:1:pos:R:3 pbc="T T T"
Pm -1.954 -1.066 3.281
Pm 2.066 3.117 4.656
Pm -1.502 3.097 2.227
Sb 0.056 1.026 3.968
I -0.429 -3.507 4.612
I 0.542 5.558 3.325
```

Entry 14:
Computed, not measured: PmSb2I8 after structural relaxation at the PBE-GGA level of DFT.

Values from the calculation:
The value obtained for the uncorrected formation energy is -0.57 eV/atom.

Cell and atoms, written as extended XYZ:
```
11
Lattice="8.131 1.134 0.860 1.429 8.793 -0.225 1.429 2.151 8.529" Properties=species:S:1:pos:R:3 pbc="T T T"
Pm 0.000 0.000 0.000
Sb 7.111 9.984 7.575
Sb 3.878 2.094 1.589
I 3.400 4.298 7.509
I 7.589 3.689 7.046
I 4.534 8.799 6.676
I 6.455 3.278 2.487
I 3.400 8.389 2.118
I 7.589 7.779 1.655
I 8.594 8.148 6.182
I 2.394 3.930 2.982
```

Entry 15:
Computed, not measured: Pm4SbI5 after structural relaxation at the PBE-GGA level of DFT.

Values from the calculation:
The value obtained for the uncorrected formation energy is -1.22 eV/atom.

Cell and atoms, written as extended XYZ:
```
10
Lattice="-3.824 -2.088 0.385 3.172 -6.780 -5.263 4.448 -1.956 8.727" Properties=species:S:1:pos:R:3 pbc="T T T"
Pm -0.894 -2.467 2.583
Pm 0.719 -1.533 -1.179
Pm 4.691 -8.356 1.265
Pm 3.079 -9.290 5.028
Sb -1.912 -1.044 0.193
I 1.898 -3.245 1.250
I 3.474 -6.595 -1.271
I 0.324 -4.229 5.119
I -0.326 -4.434 -2.439
I 1.899 -7.578 2.599
```

Entry 16:
Computed, not measured: Pm4Sb2I after structural relaxation at the PBE-GGA level of DFT.

Values from the calculation:
The value obtained for the uncorrected formation energy is -0.71 eV/atom.

Cell and atoms, written as extended XYZ:
```
14
Lattice="-1.710 -1.580 7.223 -5.391 -3.489 -2.039 5.648 -6.971 -3.003" Properties=species:S:1:pos:R:3 pbc="T T T"
Pm -2.212 -4.314 2.191
Pm 0.622 -8.462 -3.861
Pm -2.075 -3.578 6.042
Pm 0.439 -2.598 3.194
Pm 0.120 -6.227 4.773
Pm -1.891 -9.441 -1.013
Pm 0.759 -7.726 -0.010
Pm -1.572 -5.813 -2.593
Sb -5.054 -3.987 3.490
Sb 3.602 -8.052 -1.309
Sb 0.652 -4.502 0.413
Sb -2.105 -7.538 1.768
I -3.354 -4.154 -0.721
I 1.901 -7.885 2.901
```

Entry 17:
Computed, not measured: Pm2SbI after structural relaxation at the PBE-GGA level of DFT.

Values from the calculation:
The value obtained for the uncorrected formation energy is -1.05 eV/atom.

Cell and atoms, written as extended XYZ:
```
4
Lattice="4.369 0.000 0.000 2.185 3.784 0.000 2.185 1.261 7.947" Properties=species:S:1:pos:R:3 pbc="T T T"
Pm 2.185 1.261 6.221
Pm 2.185 1.261 1.726
Sb 6.554 3.784 7.921
I 4.369 2.523 3.998
```

Entry 18:
Computed, not measured: Pm6Sb5I after structural relaxation at the PBE-GGA level of DFT.

Values from the calculation:
The value obtained for the uncorrected formation energy is -1.18 eV/atom.

Cell and atoms, written as extended XYZ:
```
12
Lattice="-5.501 5.241 -1.785 -1.232 -5.147 5.736 5.140 4.666 3.526" Properties=species:S:1:pos:R:3 pbc="T T T"
I 0.000 0.000 0.000
Sb -2.245 5.904 1.187
Sb -4.083 1.790 0.713
Sb -0.796 2.380 3.739
Sb -2.650 -1.697 3.238
Sb 0.652 -1.145 6.290
Pm -1.174 3.053 0.635
Pm -1.912 5.339 4.212
Pm 2.049 3.496 3.666
Pm -3.641 1.263 3.812
Pm 0.319 -0.580 3.265
Pm -0.419 1.707 6.842
```

Entry 19:
Computed, not measured: Pm3SbI after structural relaxation at the PBE-GGA level of DFT.

Values from the calculation:
The value obtained for the uncorrected formation energy is -0.73 eV/atom.

Cell and atoms, written as extended XYZ:
```
10
Lattice="-0.728 1.219 -4.112 -7.288 -5.540 1.949 -17.884 -2.111 2.541" Properties=species:S:1:pos:R:3 pbc="T T T"
Pm -17.231 -4.109 1.833
Pm -5.318 -1.859 0.391
Pm -14.531 -2.408 -0.442
Pm -8.670 -2.322 -1.454
Pm -11.370 -4.023 0.821
Pm -20.583 -4.572 -0.012
Sb -14.360 -5.185 1.006
Sb -11.541 -1.246 -0.627
I -23.682 -5.651 0.217
I -2.219 -0.780 0.162
```

Entry 20:
Computed, not measured: Pm2SbI after structural relaxation at the PBE-GGA level of DFT.

Values from the calculation:
The value obtained for the uncorrected formation energy is -0.95 eV/atom.

Cell and atoms, written as extended XYZ:
```
4
Lattice="5.486 0.000 0.000 2.743 4.751 0.000 2.743 1.584 4.479" Properties=species:S:1:pos:R:3 pbc="T T T"
I 0.000 0.000 0.000
Sb 5.486 3.167 2.240
Pm 2.743 1.584 1.120
Pm 8.229 4.751 3.359
```

Entry 21:
Computed, not measured: Pm6Sb2Se3I after structural relaxation at the PBE-GGA level of DFT.

Values from the calculation:
The value obtained for the uncorrected formation energy is -1.46 eV/atom.

Cell and atoms, written as extended XYZ:
```
12
Lattice="4.334 0.000 0.000 0.000 8.747 0.284 -2.167 -2.552 9.173" Properties=species:S:1:pos:R:3 pbc="T T T"
Pm 0.000 6.414 6.109
Pm 2.167 4.332 3.185
Pm 2.167 -0.220 3.349
Pm 2.167 -0.056 9.209
Pm 0.000 6.250 0.249
Pm 0.000 1.862 6.273
Sb 2.167 4.159 6.340
Sb 0.000 2.036 3.118
Se 2.167 4.373 0.142
Se 2.167 -0.264 6.255
Se 0.000 6.459 3.203
I 2.167 0.000 0.000
```

Entry 22:
Computed, not measured: PmThSbI after structural relaxation at the PBE-GGA level of DFT.

Values from the calculation:
The value obtained for the uncorrected formation energy is -0.82 eV/atom.

Cell and atoms, written as extended XYZ:
```
4
Lattice="-1.046 -2.868 4.533 1.142 -5.342 0.179 4.121 -1.811 3.100" Properties=species:S:1:pos:R:3 pbc="T T T"
I 1.054 -2.505 1.953
Sb 3.163 -7.516 5.859
Th 0.000 0.000 0.000
Pm 2.109 -5.010 3.906
```

Entry 23:
Computed, not measured: PmScI4 after structural relaxation at the PBE-GGA level of DFT.

Values from the calculation:
The value obtained for the uncorrected formation energy is -1.18 eV/atom.

Cell and atoms, written as extended XYZ:
```
6
Lattice="-3.201 0.813 2.458 -1.258 -7.109 0.712 5.170 2.014 6.066" Properties=species:S:1:pos:R:3 pbc="T T T"
Pm 1.956 -2.548 3.389
Sc 0.985 1.413 4.262
I 3.511 -0.129 4.615
I 0.401 -4.966 2.163
I 1.308 -3.517 6.312
I -0.597 -0.766 2.924
```

no.,spin magnetization (Bohr magnetons per cell),N(E_F) (states/eV per cell),ρ (Mg/m³)
1,0.0,5.3,5.3
2,0.8,2.7,3.0
3,0.0,7.7,5.9
4,0.0,3.8,6.3
5,0.0,4.0,6.2
6,0.0,7.6,6.5
7,0.0,6.7,6.2
8,0.0,2.5,6.1
9,0.9,3.1,7.5
10,0.0,2.7,6.9
11,0.0,2.0,5.6
12,0.0,2.7,5.8
13,0.0,3.4,6.8
14,1.0,3.4,3.9
15,0.0,4.2,5.8
16,0.0,9.4,6.8
17,0.0,1.2,6.8
18,0.0,2.9,6.9
19,0.0,8.8,6.8
20,0.0,3.9,7.7
21,0.0,5.4,7.0
22,0.0,3.9,9.0
23,0.0,4.1,4.9